[1]
# Fe2Te2S, optimized geometry, DFT GGA-PBE
# ρ = 6.98 g cm⁻³
# energy above the most stable polymorph in this dataset = 0.95 eV/f.u.
# E_tot = -4.809 eV per atom
# total magnetization = 0.782 μB per atom
data_Fe2Te2S
_chemical_formula_sum 'Fe4 Te4 S2'
_cell_length_a 4.404
_cell_length_b 4.404
_cell_length_c 9.780
_cell_angle_alpha 90.00
_cell_angle_beta 90.00
_cell_angle_gamma 90.00
_symmetry_space_group_name_H-M 'I 4/m m m'
_symmetry_Int_Tables_number 139
_symmetry_space_group_name_Hall '-I 4 2'
loop_
_atom_site_label
_atom_site_type_symbol
_atom_site_fract_x
_atom_site_fract_y
_atom_site_fract_z
Fe1 Fe 0.000 0.000 0.112
Te1 Te 0.000 0.500 0.250
S1 S 0.000 0.000 0.500

***

[2]
# Fe2TeS2, optimized geometry, DFT GGA-PBE
# ρ = 4.58 g cm⁻³
# E_tot = -5.927 eV per atom
# total magnetization = 0.000 μB per atom
data_Fe2TeS2
_chemical_formula_sum 'Fe4 Te2 S4'
_cell_length_a 3.467
_cell_length_b 3.467
_cell_length_c 18.300
_cell_angle_alpha 90.00
_cell_angle_beta 90.00
_cell_angle_gamma 90.00
_symmetry_space_group_name_H-M 'I 4/m m m'
_symmetry_Int_Tables_number 139
_symmetry_space_group_name_Hall '-I 4 2'
loop_
_atom_site_label
_atom_site_type_symbol
_atom_site_fract_x
_atom_site_fract_y
_atom_site_fract_z
Fe1 Fe 0.000 0.500 0.250
Te1 Te 0.000 0.000 0.000
S1 S 0.000 0.000 0.321

***

[3]
# Th8FeTe4S3, optimized geometry, DFT GGA-PBE
# ρ = 9.44 g cm⁻³
# E_tot = -7.054 eV per atom
# total magnetization = 0.000 μB per atom
data_Th8FeTe4S3
_chemical_formula_sum 'Th24 Fe3 Te12 S9'
_cell_length_a 8.3252
_cell_length_b 8.3252
_cell_length_c 22.1532
_cell_angle_alpha 90.00
_cell_angle_beta 90.00
_cell_angle_gamma 120.00
_symmetry_space_group_name_H-M 'R -3 m'
_symmetry_Int_Tables_number 166
_symmetry_space_group_name_Hall '-R 3 2"'
loop_
_atom_site_label
_atom_site_type_symbol
_atom_site_fract_x
_atom_site_fract_y
_atom_site_fract_z
Th1 Th 0.0000 0.0000 0.2360
Th2 Th 0.0135 0.5068 0.2350
Fe1 Fe 0.0000 0.0000 0.5000
Te1 Te 0.0000 0.0000 0.0000
Te2 Te 0.0000 0.5000 0.0000
S1 S 0.0000 0.5000 0.5000